[1]
DFT (PBE) results for Ta4Pd9Rh3 after structural relaxation.

Properties
Crystal system ... hexagonal
Magnetization ... 0.00 μB per formula unit
Theoretical density ... 13.38 g/cm³

abc: 5.580 5.580 9.158
angles: 90.00 90.00 120.00
Fractional positions:
1 Pd 0.835 0.165 0.000
2 Pd 0.002 0.501 0.250
3 Pd 0.499 0.501 0.250
4 Pd 0.499 0.998 0.750
5 Pd 0.499 0.998 0.250
6 Pd 0.835 0.669 0.000
7 Pd 0.331 0.165 0.000
8 Pd 0.499 0.501 0.750
9 Pd 0.002 0.501 0.750
10 Rh 0.168 0.832 0.500
11 Rh 0.664 0.832 0.500
12 Rh 0.168 0.336 0.500
13 Ta 0.333 0.667 0.000
14 Ta 0.667 0.333 0.500
15 Ta 0.000 0.000 0.268
16 Ta 0.000 0.000 0.732

---

[2]
DFT (PBE) results for Ta2Pd2Rh after structural relaxation.

Properties
Energy above the lowest structure with this stoichiometry ... 0.0 meV per atom
Crystal system ... orthorhombic
Magnetization ... 0.00 μB per formula unit
Theoretical density ... 13.80 g/cm³

abc: 2.821 3.972 7.542
angles: 74.73 90.00 90.00
Fractional positions:
1 Ta 0.500 0.397 0.207
2 Ta 0.500 0.603 0.793
3 Rh 0.000 0.000 0.000
4 Pd 0.000 0.810 0.379
5 Pd 0.000 0.190 0.621

---

[3]
DFT (PBE) results for TaPdRh after structural relaxation.

Properties
Energy above the lowest structure with this stoichiometry ... 0.0 meV per atom
Crystal system ... orthorhombic
Magnetization ... 0.00 μB per formula unit
Theoretical density ... 13.71 g/cm³

abc: 4.257 3.314 6.906
angles: 103.88 90.00 90.00
Fractional positions:
1 Rh 0.250 0.433 0.867
2 Rh 0.750 0.567 0.133
3 Pd 0.750 0.240 0.479
4 Pd 0.250 0.760 0.521
5 Ta 0.750 0.902 0.804
6 Ta 0.250 0.098 0.196

---

[4]
DFT (PBE) results for Ta2PdRh4 after structural relaxation.

Properties
Energy above the lowest structure with this stoichiometry ... 0.0 meV per atom
Crystal system ... orthorhombic
Magnetization ... 0.00 μB per formula unit
Theoretical density ... 12.88 g/cm³

abc: 9.186 5.275 5.376
angles: 119.40 90.00 90.00
Fractional positions:
1 Rh 0.250 0.942 0.500
2 Rh 0.750 0.058 0.500
3 Rh 0.750 0.558 0.500
4 Rh 0.715 0.089 0.000
5 Rh 0.215 0.411 0.000
6 Rh 0.285 0.911 0.000
7 Rh 0.785 0.589 0.000
8 Rh 0.250 0.442 0.500
9 Pd 0.500 0.500 0.000
10 Pd 0.000 0.000 0.000
11 Ta 0.000 0.665 0.330
12 Ta 0.500 0.165 0.330
13 Ta 0.500 0.835 0.670
14 Ta 0.000 0.335 0.670

---

| no. | formation energy (eV/f.u.) |
| --- | --- |
| 1 | -7.9 |
| 2 | -1.5 |
| 3 | -1.5 |
| 4 | -1.3 |